# 1
Material: PIBr2
Method: DFT, GGA-PBE
State: relaxed

The structure belongs to space group I4_1/amd (No. 141, origin choice 2); the cell edges are 7.911, 7.911 and 11.215 Å and the angles 90.00°, 90.00° and 90.00°. Symmetry generates all atoms from P at (0.000, 0.250, 0.375), I at (0.000, 0.250, 0.875) and Br at (0.000, 0.000, 0.500).

The calculation puts the density of states at the Fermi level at 6.05 states/eV/f.u. The value obtained for the raw formation energy is 336.8 meV/atom. Its total energy is -35.8 eV per cell. For the volume, the calculation gives 701.9 Å³ per cell. Its energy above the lowest structure with this stoichiometry is 583 meV per atom.


# 2
Material: SmZnRh
Method: DFT, GGA-PBE
State: relaxed

The structure belongs to space group Pnma (No. 62); the cell edges are 7.059, 4.114 and 8.184 Å and the angles 90.00°, 90.00° and 90.00°. Symmetry generates all atoms from Sm at (0.038, 0.250, 0.187), Zn at (0.139, 0.250, 0.565) and Rh at (0.241, 0.750, 0.380).

The calculation puts the density of states at the Fermi level at 1.31 states/eV/f.u. Its total energy is -61.6 eV per cell. For the formation energy, the calculation gives -684 meV/atom. For the volume, the calculation gives 237.6 Å³ per cell.


| no. | theoretical density (g cm⁻³) | magnetic moment (μB per formula unit) |
| --- | --- | --- |
| 1 | 3.006 | 0.00 |
| 2 | 8.907 | 0.00 |